1.
## NdY7Er4 (PBE-GGA)

Data for a relaxed NdY7Er4 crystal.

Values from the calculation:
Energy relative to the elements, eV/f.u.: 3.5

abc: 5.8642 11.6034 6.7104
angles: 82.78 64.09 75.36
Last column: nearest neighbours and their distance in Å.
Atoms (fractional coordinates):
Er: 0.6340 0.2257 0.5064  7 Y 3.37-3.59, 2 Er 3.65
Er: 0.3660 0.7743 0.4936  7 Y 3.37-3.59, 2 Er 3.65
Er: 0.7495 0.6841 0.8168  4 Y 3.26-3.58
Er: 0.2505 0.3159 0.1832  4 Y 3.26-3.58
Y: 0.2105 0.0778 0.5012  1 Nd 3.12, 4 Y 3.16-3.41, 4 Er 3.26-3.41
Y: 0.7895 0.9222 0.4988  1 Nd 3.12, 4 Y 3.16-3.41, 4 Er 3.26-3.41
Y: 0.5000 0.0000 0.0000  2 Nd 2.93, 2 Y 3.16
Y: 0.0580 0.6710 0.2129  4 Y 3.31-3.53, 3 Er 3.59-3.65
Y: 0.3648 0.5043 0.7661  4 Y 3.22-3.53, 5 Er 3.26-3.58
Y: 0.9420 0.3290 0.7871  4 Y 3.31-3.53, 3 Er 3.59-3.65
Y: 0.6352 0.4957 0.2339  4 Y 3.22-3.53, 5 Er 3.26-3.58
Nd: 0.0000 0.0000 0.0000  4 Y 2.93-3.12

***

2.
## LaGe2IrRu (PBE-GGA)

Data for a relaxed LaGe2IrRu crystal.

Values from the calculation:
Energy relative to the elements, eV/f.u.: -3.8

abc: 6.0119 6.0119 6.0119
angles: 138.29 138.29 60.45
Last column: nearest neighbours and their distance in Å.
Atoms (fractional coordinates):
Ge: 0.3698 0.3698 0.0000  2 Ir 2.48, 2 Ru 2.48, 1 Ge 2.71
Ge: 0.6302 0.6302 0.0000  2 Ru 2.48, 2 Ir 2.48, 1 Ge 2.71
Ir: 0.2500 0.7500 0.5000  4 Ge 2.48
Ru: 0.7500 0.2500 0.5000  4 Ge 2.48
La: 0.0000 0.0000 0.0000  8 Ge 3.32, 4 Ru 3.37, 4 Ir 3.37

***

3.
## PmSnGeRh (PBE-GGA)

Data for a relaxed PmSnGeRh crystal.

Values from the calculation:
Energy relative to the elements, eV/f.u.: -1.9

abc: 4.9120 4.9120 4.9120
angles: 60.00 60.00 60.00
Last column: nearest neighbours and their distance in Å.
Atoms (fractional coordinates):
Sn: 0.5000 0.5000 0.5000  4 Ge 3.01, 4 Rh 3.01
Pm: 0.0000 0.0000 0.0000  4 Rh 3.01, 4 Ge 3.01
Rh: 0.2500 0.2500 0.2500  4 Sn 3.01, 4 Pm 3.01
Ge: 0.7500 0.7500 0.7500  4 Pm 3.01, 4 Sn 3.01